DFT (PBE-GGA) results for a geometry-optimized Pr4ErTm2Mg structure.

Cell lengths 5.775, 5.775, 7.784 Å; angles 90.00, 90.00, 90.00 degrees
Fractional coordinates of all 8 atoms:
Pr: 0.000 0.500 0.242
Pr: 0.000 0.500 0.758
Pr: 0.500 0.000 0.242
Pr: 0.500 0.000 0.758
Er: 0.000 0.000 0.500
Tm: 0.000 0.000 0.000
Tm: 0.500 0.500 0.500
Mg: 0.500 0.500 0.000

Summary:
crystal system	tetragonal
SG	P4/mmm, No. 123

---

DFT (PBE-GGA) results for a geometry-optimized PrErTmMg structure.

Cell lengths 3.588, 3.588, 9.380 Å; angles 90.00, 90.00, 90.00 degrees
Fractional coordinates of all 4 atoms:
Pr: 0.000 0.000 0.000
Er: 0.500 0.500 0.727
Tm: 0.000 0.000 0.473
Mg: 0.500 0.500 0.248

Summary:
crystal system	tetragonal
SG	P4mm, No. 99
energy above the lowest structure with this stoichiometry	0.000	eV/atom

---

DFT (PBE-GGA) results for a geometry-optimized Pr3Y6Er2Mg structure.

Cell lengths 6.220, 6.220, 11.778 Å; angles 95.08, 95.08, 120.03 degrees
Fractional coordinates of all 12 atoms:
Pr: 0.000 0.000 0.000
Pr: 0.335 0.665 0.000
Pr: 0.665 0.335 0.000
Y: 0.088 0.420 0.257
Y: 0.248 0.248 0.743
Y: 0.420 0.088 0.257
Y: 0.580 0.912 0.743
Y: 0.752 0.752 0.257
Y: 0.912 0.580 0.743
Er: 0.166 0.834 0.500
Er: 0.834 0.166 0.500
Mg: 0.500 0.500 0.500

Summary:
crystal system	monoclinic
SG	C2/m, No. 12

---

DFT (PBE-GGA) results for a geometry-optimized PrYErMg structure.

Cell lengths 3.704, 3.704, 8.916 Å; angles 90.00, 90.00, 90.00 degrees
Fractional coordinates of all 4 atoms:
Pr: 0.000 0.000 0.000
Y: 0.500 0.500 0.715
Er: 0.500 0.500 0.277
Mg: 0.000 0.000 0.494

Summary:
crystal system	tetragonal
SG	P4mm, No. 99
energy above the lowest structure with this stoichiometry	0.000	eV/atom

---

no.,calculated formation energy (eV/atom)
1,0.04
2,-0.02
3,0.04
4,-0.03